Entry 1:
Here is SrLi2Mg at its PBEsol-relaxed geometry from the Alexandria database. Energies are from meta-GGA SCAN.

excess energy over the best structure of this formula in the dataset	1.3	kJ/mol of atoms
SG	Fm-3m, No. 225
energy of formation from the pure elements	29	meV per atom

```
SrLi2Mg
1.0
7.6061 0.0000 0.0000
0.0000 7.6061 0.0000
0.0000 0.0000 7.6061
Sr Li Mg
4 8 4
direct
0.0000 0.0000 0.0000
0.0000 0.5000 0.5000
0.5000 0.0000 0.5000
0.5000 0.5000 0.0000
0.2500 0.2500 0.2500
0.2500 0.2500 0.7500
0.2500 0.7500 0.2500
0.2500 0.7500 0.7500
0.7500 0.2500 0.2500
0.7500 0.2500 0.7500
0.7500 0.7500 0.2500
0.7500 0.7500 0.7500
0.0000 0.0000 0.5000
0.0000 0.5000 0.0000
0.5000 0.0000 0.0000
0.5000 0.5000 0.5000
```

Entry 2:
Here is SrLi2Mg at its PBEsol-relaxed geometry from the Alexandria database. Energies are from meta-GGA SCAN.

excess energy over the best structure of this formula in the dataset	3.5	kJ/mol of atoms
SG	Imm2, No. 44
energy of formation from the pure elements	51	meV per atom

```
SrLi2Mg
1.0
4.1759 0.0000 0.0000
0.0000 5.3530 0.0000
0.0000 0.0000 10.1301
Sr Li Mg
2 4 2
direct
0.0000 0.0000 0.0000
0.5000 0.5000 0.5000
0.0000 0.0000 0.5129
0.0000 0.5000 0.2283
0.5000 0.0000 0.7283
0.5000 0.5000 0.0129
0.0000 0.5000 0.7753
0.5000 0.0000 0.2753
```

Entry 3:
Here is SrLi2Mg at its PBEsol-relaxed geometry from the Alexandria database. Energies are from meta-GGA SCAN.

excess energy over the best structure of this formula in the dataset	0.8	kJ/mol of atoms
SG	Pmmm, No. 47
energy of formation from the pure elements	22	meV per atom

```
SrLi2Mg
1.0
3.7043 0.0000 0.0000
0.0000 3.9010 0.0000
0.0000 0.0000 7.6167
Sr Li Mg
1 2 1
direct
0.0000 0.0000 0.0000
0.5000 0.5000 0.3092
0.5000 0.5000 0.6908
0.0000 0.0000 0.5000
```

Entry 4:
Here is Sr2LiMg at its PBEsol-relaxed geometry from the Alexandria database. Energies are from meta-GGA SCAN.

SG	F-43m, No. 216
energy of formation from the pure elements	120	meV per atom

```
Sr2LiMg
1.0
8.1552 0.0000 0.0000
0.0000 8.1552 0.0000
0.0000 0.0000 8.1552
Sr Li Mg
8 4 4
direct
0.0000 0.0000 0.0000
0.0000 0.5000 0.5000
0.2500 0.2500 0.2500
0.2500 0.7500 0.7500
0.5000 0.0000 0.5000
0.5000 0.5000 0.0000
0.7500 0.2500 0.7500
0.7500 0.7500 0.2500
0.2500 0.2500 0.7500
0.2500 0.7500 0.2500
0.7500 0.2500 0.2500
0.7500 0.7500 0.7500
0.0000 0.0000 0.5000
0.0000 0.5000 0.0000
0.5000 0.0000 0.0000
0.5000 0.5000 0.5000
```

Entry 5:
Here is SrLi3Mg at its PBEsol-relaxed geometry from the Alexandria database. Energies are from meta-GGA SCAN.

SG	Pm-3m, No. 221
energy of formation from the pure elements	164	meV per atom

```
SrLi3Mg
1.0
5.2855 0.0000 0.0000
0.0000 5.2855 0.0000
0.0000 0.0000 5.2855
Sr Li Mg
1 3 1
direct
0.0000 0.0000 0.0000
0.0000 0.5000 0.5000
0.5000 0.0000 0.5000
0.5000 0.5000 0.0000
0.5000 0.5000 0.5000
```

Entry 6:
Here is Sr2LiMg at its PBEsol-relaxed geometry from the Alexandria database. Energies are from meta-GGA SCAN.

SG	Cm, No. 8
energy of formation from the pure elements	0	meV per atom

```
Sr2LiMg
1.0
12.7999 0.0000 0.0000
0.0000 3.9310 0.0000
-2.1382 0.0000 5.6395
Sr Li Mg
4 2 2
direct
0.0000 0.0000 0.0000
0.2075 0.0000 0.6564
0.5000 0.5000 0.0000
0.7075 0.5000 0.6564
0.4455 0.0000 0.4517
0.9455 0.5000 0.4517
0.2574 0.5000 0.1973
0.7574 0.0000 0.1973
```

Entry 7:
Here is Sr2LiMg at its PBEsol-relaxed geometry from the Alexandria database. Energies are from meta-GGA SCAN.

SG	Amm2, No. 38
energy of formation from the pure elements	2	meV per atom

```
Sr2LiMg
1.0
5.3595 0.0000 0.0000
0.0000 4.2596 0.0000
0.0000 0.0000 13.0469
Sr Li Mg
4 2 2
direct
0.0000 0.0000 0.0000
0.0000 0.5000 0.5000
0.5000 0.0000 0.3023
0.5000 0.5000 0.8023
0.0000 0.0000 0.7150
0.0000 0.5000 0.2150
0.5000 0.0000 0.5840
0.5000 0.5000 0.0840
```

Entry 8:
Here is LiMgTa3 at its PBEsol-relaxed geometry from the Alexandria database. Energies are from meta-GGA SCAN.

SG	Pm-3m, No. 221
energy of formation from the pure elements	1172	meV per atom

```
LiMgTa3
1.0
4.4253 0.0000 0.0000
0.0000 4.4253 0.0000
0.0000 0.0000 4.4253
Li Mg Ta
1 1 3
direct
0.0000 0.0000 0.0000
0.5000 0.5000 0.5000
0.0000 0.0000 0.5000
0.0000 0.5000 0.0000
0.5000 0.0000 0.0000
```

Entry 9:
Here is LiMgTc2 at its PBEsol-relaxed geometry from the Alexandria database. Energies are from meta-GGA SCAN.

SG	Pmmm, No. 47
energy of formation from the pure elements	221	meV per atom

```
LiMgTc2
1.0
2.5872 0.0000 0.0000
0.0000 4.5021 0.0000
0.0000 0.0000 4.9696
Li Mg Tc
1 1 2
direct
0.0000 0.0000 0.0000
0.0000 0.0000 0.5000
0.5000 0.5000 0.2460
0.5000 0.5000 0.7540
```

Entry 10:
Here is LiMgTc2 at its PBEsol-relaxed geometry from the Alexandria database. Energies are from meta-GGA SCAN.

SG	P4/mmm, No. 123
energy of formation from the pure elements	180	meV per atom

```
LiMgTc2
1.0
3.5576 0.0000 0.0000
0.0000 3.5576 0.0000
0.0000 0.0000 4.5440
Li Mg Tc
1 1 2
direct
0.0000 0.0000 0.0000
0.5000 0.5000 0.0000
0.0000 0.5000 0.5000
0.5000 0.0000 0.5000
```

Entry 11:
Here is LiMgTe2 at its PBEsol-relaxed geometry from the Alexandria database. Energies are from meta-GGA SCAN.

raw formation energy	-796	meV per atom
SG	Pmm2, No. 25

```
LiMgTe2
1.0
3.3930 0.0000 0.0000
0.0000 4.3115 0.0000
0.0000 0.0000 7.2570
Li Mg Te
1 1 2
direct
0.0000 0.0000 0.0000
0.5000 0.5000 0.4603
0.0000 0.0000 0.6115
0.5000 0.5000 0.0851
```

Entry 12:
Here is LiMgTe2 at its PBEsol-relaxed geometry from the Alexandria database. Energies are from meta-GGA SCAN.

raw formation energy	-251	meV per atom
SG	P4mm, No. 99

```
LiMgTe2
1.0
3.1789 0.0000 0.0000
0.0000 3.1789 0.0000
0.0000 0.0000 10.0669
Li Mg Te
1 1 2
direct
0.0000 0.0000 0.0000
0.5000 0.5000 0.2440
0.0000 0.0000 0.4637
0.5000 0.5000 0.8118
```

Entry 13:
Here is Li3MgTe at its PBEsol-relaxed geometry from the Alexandria database. Energies are from meta-GGA SCAN.

raw formation energy	-306	meV per atom
SG	Pm-3m, No. 221

```
Li3MgTe
1.0
5.1776 0.0000 0.0000
0.0000 5.1776 0.0000
0.0000 0.0000 5.1776
Li Mg Te
3 1 1
direct
0.0000 0.0000 0.5000
0.0000 0.5000 0.0000
0.5000 0.0000 0.0000
0.5000 0.5000 0.5000
0.0000 0.0000 0.0000
```

Entry 14:
Here is LiMgTe2 at its PBEsol-relaxed geometry from the Alexandria database. Energies are from meta-GGA SCAN.

raw formation energy	-526	meV per atom
SG	P4/mmm, No. 123

```
LiMgTe2
1.0
3.8519 0.0000 0.0000
0.0000 3.8519 0.0000
0.0000 0.0000 6.4885
Li Mg Te
1 1 2
direct
0.0000 0.0000 0.0000
0.0000 0.0000 0.5000
0.5000 0.5000 0.2511
0.5000 0.5000 0.7489
```

Entry 15:
Here is LiMg2Ti at its PBEsol-relaxed geometry from the Alexandria database. Energies are from meta-GGA SCAN.

SG	Fm-3m, No. 225
energy of formation from the pure elements	275	meV per atom

```
LiMg2Ti
1.0
6.7234 0.0000 0.0000
0.0000 6.7234 0.0000
0.0000 0.0000 6.7234
Li Mg Ti
4 8 4
direct
0.0000 0.0000 0.0000
0.0000 0.5000 0.5000
0.5000 0.0000 0.5000
0.5000 0.5000 0.0000
0.2500 0.2500 0.2500
0.2500 0.2500 0.7500
0.2500 0.7500 0.2500
0.2500 0.7500 0.7500
0.7500 0.2500 0.2500
0.7500 0.2500 0.7500
0.7500 0.7500 0.2500
0.7500 0.7500 0.7500
0.0000 0.0000 0.5000
0.0000 0.5000 0.0000
0.5000 0.0000 0.0000
0.5000 0.5000 0.5000
```

Entry 16:
Here is LiMg2Tl at its PBEsol-relaxed geometry from the Alexandria database. Energies are from meta-GGA SCAN.

excess energy over the best structure of this formula in the dataset	8.9	kJ/mol of atoms
SG	Pmmm, No. 47
energy of formation from the pure elements	-169	meV per atom

```
LiMg2Tl
1.0
3.6317 0.0000 0.0000
0.0000 3.7062 0.0000
0.0000 0.0000 6.3470
Li Mg Tl
1 2 1
direct
0.0000 0.0000 0.0000
0.5000 0.5000 0.2443
0.5000 0.5000 0.7557
0.0000 0.0000 0.5000
```

Entry 17:
Here is LiMgTl2 at its PBEsol-relaxed geometry from the Alexandria database. Energies are from meta-GGA SCAN.

SG	Cm, No. 8
energy of formation from the pure elements	-187	meV per atom

```
LiMgTl2
1.0
10.7917 0.0000 0.0000
0.0000 3.4666 0.0000
-1.1391 0.0000 4.8379
Li Mg Tl
2 2 4
direct
0.0000 0.0000 0.0000
0.5000 0.5000 0.0000
0.2511 0.5000 0.3337
0.7511 0.0000 0.3337
0.2597 0.0000 0.8438
0.4982 0.0000 0.4978
0.7597 0.5000 0.8438
0.9982 0.5000 0.4978
```

Entry 18:
Here is LiMg2Tl at its PBEsol-relaxed geometry from the Alexandria database. Energies are from meta-GGA SCAN.

excess energy over the best structure of this formula in the dataset	8.5	kJ/mol of atoms
SG	P4mm, No. 99
energy of formation from the pure elements	-173	meV per atom

```
LiMg2Tl
1.0
3.5545 0.0000 0.0000
0.0000 3.5545 0.0000
0.0000 0.0000 6.6840
Li Mg Tl
1 2 1
direct
0.0000 0.0000 0.0000
0.0000 0.0000 0.5142
0.5000 0.5000 0.2428
0.5000 0.5000 0.7765
```

Entry 19:
Here is LiMg2Tl at its PBEsol-relaxed geometry from the Alexandria database. Energies are from meta-GGA SCAN.

excess energy over the best structure of this formula in the dataset	10.3	kJ/mol of atoms
SG	C2/m, No. 12
energy of formation from the pure elements	-154	meV per atom

```
LiMg2Tl
1.0
10.2601 0.0000 0.0000
0.0000 3.2230 0.0000
-0.8526 0.0000 5.2226
Li Mg Tl
2 4 2
direct
0.0000 0.0000 0.0000
0.5000 0.5000 0.0000
0.2475 0.0000 0.7516
0.2525 0.5000 0.2484
0.7475 0.5000 0.7516
0.7525 0.0000 0.2484
0.0000 0.5000 0.5000
0.5000 0.0000 0.5000
```

Entry 20:
Here is LiMgTl at its PBEsol-relaxed geometry from the Alexandria database. Energies are from meta-GGA SCAN.

excess energy over the best structure of this formula in the dataset	5.2	kJ/mol of atoms
SG	P3m1, No. 156
energy of formation from the pure elements	-255	meV per atom

```
LiMgTl
1.0
4.7529 0.0000 0.0000
-2.3764 4.1161 0.0000
0.0000 0.0000 3.1927
Li Mg Tl
1 1 1
direct
0.0000 0.0000 0.0000
0.6667 0.3333 0.4108
0.3333 0.6667 0.8046
```

Entry 21:
Here is Li2MgTl2 at its PBEsol-relaxed geometry from the Alexandria database. Energies are from meta-GGA SCAN.

SG	P4/mbm, No. 127
energy of formation from the pure elements	-267	meV per atom

```
Li2MgTl2
1.0
7.8258 0.0000 0.0000
0.0000 7.8258 0.0000
0.0000 0.0000 3.4451
Li Mg Tl
4 2 4
direct
0.1580 0.3420 0.0000
0.3420 0.8420 0.0000
0.6580 0.1580 0.0000
0.8420 0.6580 0.0000
0.0000 0.0000 0.5000
0.5000 0.5000 0.5000
0.1417 0.6417 0.5000
0.3583 0.1417 0.5000
0.6417 0.8583 0.5000
0.8583 0.3583 0.5000
```

Entry 22:
Here is LiMgTl2 at its PBEsol-relaxed geometry from the Alexandria database. Energies are from meta-GGA SCAN.

SG	I4/mmm, No. 139
energy of formation from the pure elements	-232	meV per atom

```
LiMgTl2
1.0
4.8636 0.0000 0.0000
0.0000 4.8636 0.0000
0.0000 0.0000 7.4988
Li Mg Tl
2 2 4
direct
0.0000 0.0000 0.0000
0.5000 0.5000 0.5000
0.0000 0.0000 0.5000
0.5000 0.5000 0.0000
0.0000 0.5000 0.2500
0.0000 0.5000 0.7500
0.5000 0.0000 0.2500
0.5000 0.0000 0.7500
```

Entry 23:
Here is LiMg2Tl at its PBEsol-relaxed geometry from the Alexandria database. Energies are from meta-GGA SCAN.

excess energy over the best structure of this formula in the dataset	4.2	kJ/mol of atoms
SG	F-43m, No. 216
energy of formation from the pure elements	-218	meV per atom

```
LiMg2Tl
1.0
6.9190 0.0000 0.0000
0.0000 6.9190 0.0000
0.0000 0.0000 6.9190
Li Mg Tl
4 8 4
direct
0.0000 0.0000 0.0000
0.0000 0.5000 0.5000
0.5000 0.0000 0.5000
0.5000 0.5000 0.0000
0.0000 0.0000 0.5000
0.0000 0.5000 0.0000
0.2500 0.2500 0.7500
0.2500 0.7500 0.2500
0.5000 0.0000 0.0000
0.5000 0.5000 0.5000
0.7500 0.2500 0.2500
0.7500 0.7500 0.7500
0.2500 0.2500 0.2500
0.2500 0.7500 0.7500
0.7500 0.2500 0.7500
0.7500 0.7500 0.2500
```

Entry 24:
Here is LiMgTl4 at its PBEsol-relaxed geometry from the Alexandria database. Energies are from meta-GGA SCAN.

SG	F-43m, No. 216
energy of formation from the pure elements	120	meV per atom

```
LiMgTl4
1.0
0.0000 4.4213 4.4213
4.4213 0.0000 4.4213
4.4213 4.4213 0.0000
Li Mg Tl
1 1 4
direct
0.0000 0.0000 0.0000
0.2500 0.2500 0.2500
0.1251 0.6250 0.6250
0.6250 0.1251 0.6250
0.6250 0.6250 0.1251
0.6250 0.6250 0.6250
```

Entry 25:
Here is LiMgTl2 at its PBEsol-relaxed geometry from the Alexandria database. Energies are from meta-GGA SCAN.

SG	Imm2, No. 44
energy of formation from the pure elements	-181	meV per atom

```
LiMgTl2
1.0
4.1363 0.0000 0.0000
0.0000 4.4409 0.0000
0.0000 0.0000 9.8713
Li Mg Tl
2 2 4
direct
0.0000 0.0000 0.0000
0.5000 0.5000 0.5000
0.0000 0.5000 0.7511
0.5000 0.0000 0.2511
0.0000 0.0000 0.5031
0.0000 0.5000 0.2539
0.5000 0.0000 0.7539
0.5000 0.5000 0.0031
```

Entry 26:
Here is LiMgTl at its PBEsol-relaxed geometry from the Alexandria database. Energies are from meta-GGA SCAN.

excess energy over the best structure of this formula in the dataset	0.0	kJ/mol of atoms
SG	C2/c, No. 15
energy of formation from the pure elements	-309	meV per atom

```
LiMgTl
1.0
4.8052 0.0000 0.0000
0.0000 8.3237 0.0000
-0.0144 0.0000 6.0693
Li Mg Tl
4 4 4
direct
0.0000 0.1667 0.2500
0.0000 0.8333 0.7500
0.5000 0.3333 0.7500
0.5000 0.6667 0.2500
0.0000 0.5000 0.0000
0.0000 0.5000 0.5000
0.5000 0.0000 0.0000
0.5000 0.0000 0.5000
0.0000 0.1667 0.7500
0.0000 0.8333 0.2500
0.5000 0.3333 0.2500
0.5000 0.6667 0.7500
```

Entry 27:
Here is LiMg2Tl at its PBEsol-relaxed geometry from the Alexandria database. Energies are from meta-GGA SCAN.

excess energy over the best structure of this formula in the dataset	0.0	kJ/mol of atoms
SG	Fm-3m, No. 225
energy of formation from the pure elements	-261	meV per atom

```
LiMg2Tl
1.0
6.8885 0.0000 0.0000
0.0000 6.8885 0.0000
0.0000 0.0000 6.8885
Li Mg Tl
4 8 4
direct
0.0000 0.0000 0.0000
0.0000 0.5000 0.5000
0.5000 0.0000 0.5000
0.5000 0.5000 0.0000
0.2500 0.2500 0.2500
0.2500 0.2500 0.7500
0.2500 0.7500 0.2500
0.2500 0.7500 0.7500
0.7500 0.2500 0.2500
0.7500 0.2500 0.7500
0.7500 0.7500 0.2500
0.7500 0.7500 0.7500
0.0000 0.0000 0.5000
0.0000 0.5000 0.0000
0.5000 0.0000 0.0000
0.5000 0.5000 0.5000
```

Entry 28:
Here is LiMg2Tl at its PBEsol-relaxed geometry from the Alexandria database. Energies are from meta-GGA SCAN.

excess energy over the best structure of this formula in the dataset	9.4	kJ/mol of atoms
SG	Pmm2, No. 25
energy of formation from the pure elements	-163	meV per atom

```
LiMg2Tl
1.0
3.2857 0.0000 0.0000
0.0000 4.0917 0.0000
0.0000 0.0000 6.3350
Li Mg Tl
1 2 1
direct
0.0000 0.0000 0.0000
0.0000 0.0000 0.5112
0.5000 0.5000 0.2481
0.5000 0.5000 0.7697
```

Entry 29:
Here is LiMg2Tl at its PBEsol-relaxed geometry from the Alexandria database. Energies are from meta-GGA SCAN.

excess energy over the best structure of this formula in the dataset	11.6	kJ/mol of atoms
SG	P2/m, No. 10
energy of formation from the pure elements	-141	meV per atom

```
LiMg2Tl
1.0
3.1814 0.0000 0.0000
0.0000 5.0166 0.0000
-0.3706 0.0000 5.4373
Li Mg Tl
1 2 1
direct
0.0000 0.0000 0.0000
0.2560 0.5000 0.7551
0.7440 0.5000 0.2449
0.5000 0.0000 0.5000
```

Entry 30:
Here is LiMgTl2 at its PBEsol-relaxed geometry from the Alexandria database. Energies are from meta-GGA SCAN.

SG	Pmm2, No. 25
energy of formation from the pure elements	-155	meV per atom

```
LiMgTl2
1.0
3.4219 0.0000 0.0000
0.0000 4.4127 0.0000
0.0000 0.0000 6.0629
Li Mg Tl
1 1 2
direct
0.0000 0.0000 0.0000
0.5000 0.5000 0.2783
0.0000 0.0000 0.4937
0.5000 0.5000 0.7912
```

no.,DOS(E_F) (states/eV/f.u.)
1,3.12
2,2.37
3,2.13
4,5.03
5,3.62
6,2.92
7,3.29
8,5.51
9,2.03
10,2.24
11,0.74
12,1.46
13,2.41
14,1.11
15,2.78
16,1.23
17,1.54
18,1.25
19,1.33
20,0.72
21,1.62
22,1.24
23,1.29
24,2.49
25,1.57
26,0.87
27,0.85
28,1.40
29,1.08
30,1.82